Entry one
The following is a DFT calculation (PBE) of a relaxed CdIn2Te2 crystal.

Results
Fermi-level density of states = 0.558 states/eV per atom
magnetization = 0.00 μB per formula unit
symmetry = No. 139
ρ = 6.31 g/cm3

```
5
Lattice="-3.846 -1.738 4.097 4.436 -1.058 3.716 0.016 2.866 5.454" Properties=species:S:1:pos:R:3 pbc="T T T"
Te 2.374 0.205 6.538
Te -1.768 -0.135 6.729
In 0.206 -0.044 4.398
Cd 0.000 0.000 0.000
In 0.400 0.113 8.869
```


Entry two
The following is a DFT calculation (PBE) of a relaxed CdIn2Te2 crystal.

Results
Fermi-level density of states = 0.462 states/eV per atom
magnetization = 0.00 μB per formula unit
symmetry = No. 127
ρ = 6.72 g/cm3

```
10
Lattice="-5.625 4.060 -4.973 -1.908 -7.370 -3.859 -2.908 -0.679 2.735" Properties=species:S:1:pos:R:3 pbc="T T T"
Te -3.685 -0.097 -0.945
Cd -3.766 -1.655 -4.416
Cd 0.000 0.000 0.000
In -3.913 1.546 -3.777
In -1.497 -2.015 -2.092
Te -3.586 -4.542 -1.943
In -3.620 -4.856 -5.055
Te -6.755 -3.892 -5.152
Te -6.855 0.553 -4.153
In -6.035 -1.295 -6.739
```


Q: What are the energies relative to the best structure? A: entry one 0.0; entry two 2.5, in kJ/mol of atoms.


Entry one
The following is a DFT calculation (PBE) of a relaxed CdInTe3 crystal.

Results
Fermi-level density of states = 0.664 states/eV per atom
magnetization = 0.00 μB per formula unit
symmetry = No. 62
ρ = 5.59 g/cm3

```
20
Lattice="-1.838 -6.772 2.851 -0.441 -2.966 -7.330 11.706 -2.969 0.497" Properties=species:S:1:pos:R:3 pbc="T T T"
Te 4.683 -8.030 1.678
Te 9.765 -8.958 -2.530
In 7.675 -7.193 -3.285
Cd 4.934 -4.870 1.674
In 0.832 -9.569 -3.280
Cd -0.919 -3.386 1.425
Te -0.077 -3.454 -5.865
Cd -0.221 -1.483 -3.665
Cd 5.633 -2.967 -3.417
Te 4.744 -4.677 -5.661
Te 4.945 -7.735 -2.735
Te 1.406 -7.638 -5.267
Te 1.057 -8.256 -0.717
Te 8.020 -5.069 1.284
Te -0.339 -3.749 -1.452
In 8.594 -3.138 -0.703
Te 4.482 -4.971 -1.248
Te 9.504 -9.252 1.883
Te 8.370 -4.450 -3.265
In 1.751 -5.513 -0.698
```


Entry two
The following is a DFT calculation (PBE) of a relaxed CdInTe3 crystal.

Results
Fermi-level density of states = 0.975 states/eV per atom
magnetization = 0.00 μB per formula unit
symmetry = No. 221
ρ = 5.58 g/cm3

```
5
Lattice="-5.161 1.228 -1.977 -2.319 -2.311 4.619 0.195 5.020 2.610" Properties=species:S:1:pos:R:3 pbc="T T T"
Cd 0.000 0.000 0.000
Te -1.159 -1.155 2.310
Te -2.581 0.614 -0.988
In -3.643 1.969 2.626
Te 0.097 2.510 1.305
```


Q: What are the energies relative to the best structure? A: entry one 0.0; entry two 42.7, in kJ/mol of atoms.


Entry one
The following is a DFT calculation (PBE) of a relaxed ThCdIn2 crystal.

Results
Fermi-level density of states = 0.458 states/eV per atom
magnetization = 0.00 μB per formula unit
symmetry = No. 123
ρ = 9.05 g/cm3

```
4
Lattice="-0.776 1.622 -4.307 0.077 -4.441 -1.686 -4.684 -0.351 0.711" Properties=species:S:1:pos:R:3 pbc="T T T"
Th -2.692 -1.585 -2.641
In -2.342 -0.176 0.356
Cd -0.388 0.811 -2.154
In 0.038 -2.221 -0.843
```


Entry two
The following is a DFT calculation (PBE) of a relaxed ThCdIn2 crystal.

Results
Fermi-level density of states = 0.590 states/eV per atom
magnetization = 0.00 μB per formula unit
symmetry = No. 123
ρ = 9.04 g/cm3

```
4
Lattice="3.720 0.000 0.000 0.000 3.720 0.000 0.000 0.000 7.620" Properties=species:S:1:pos:R:3 pbc="T T T"
Th 1.860 1.860 3.810
In 0.000 0.000 5.955
Cd 1.860 1.860 0.000
In 0.000 0.000 1.665
```


Q: What are the energies relative to the best structure? A: entry one 0.0; entry two 16.2, in kJ/mol of atoms.


Entry one
The following is a DFT calculation (PBE) of a relaxed ThTlCdIn crystal.

Results
Fermi-level density of states = 0.801 states/eV per atom
magnetization = 0.00 μB per formula unit
symmetry = No. 216
ρ = 10.25 g/cm3

```
4
Lattice="-1.767 -0.537 5.008 -5.205 -0.732 0.929 -1.765 -4.737 1.714" Properties=species:S:1:pos:R:3 pbc="T T T"
Tl 0.000 0.000 0.000
Th -6.554 -4.505 5.738
Cd -2.185 -1.502 1.913
In -4.369 -3.003 3.826
```


Entry two
The following is a DFT calculation (PBE) of a relaxed ThTlCdIn crystal.

Results
Fermi-level density of states = 0.489 states/eV per atom
magnetization = 0.00 μB per formula unit
symmetry = No. 47
ρ = 10.27 g/cm3

```
4
Lattice="4.693 0.000 0.000 0.000 4.778 0.000 0.000 0.000 4.787" Properties=species:S:1:pos:R:3 pbc="T T T"
Th 0.000 2.389 2.394
Cd 0.000 0.000 0.000
In 2.346 2.389 0.000
Tl 2.346 0.000 2.394
```


Q: What are the energies relative to the best structure? A: entry one 17.4; entry two 0.0, in kJ/mol of atoms.


Entry one
The following is a DFT calculation (PBE) of a relaxed TlCd2In crystal.

Results
Fermi-level density of states = 0.331 states/eV per atom
magnetization = 0.00 μB per formula unit
symmetry = No. 119
ρ = 8.62 g/cm3

```
4
Lattice="5.940 0.206 0.000 2.211 5.517 0.000 -4.076 -2.861 3.244" Properties=species:S:1:pos:R:3 pbc="T T T"
Tl 2.970 0.103 1.622
Cd 1.106 2.758 1.622
In 4.076 2.861 0.000
Cd 0.000 0.000 0.000
```


Entry two
The following is a DFT calculation (PBE) of a relaxed TlCd2In crystal.

Results
Fermi-level density of states = 0.432 states/eV per atom
magnetization = 0.00 μB per formula unit
symmetry = No. 122
ρ = 8.20 g/cm3

```
8
Lattice="4.465 0.000 0.000 0.000 4.465 0.000 2.233 2.233 11.057" Properties=species:S:1:pos:R:3 pbc="T T T"
In 2.233 2.233 0.000
Tl 4.465 2.233 5.529
Cd 5.582 5.557 8.293
In 2.233 4.465 5.529
Cd 1.141 3.349 2.764
Cd 3.349 3.374 8.293
Cd 3.324 1.116 2.764
Tl 0.000 0.000 0.000
```


Q: What are the energies relative to the best structure? A: entry one 0.0; entry two 4.5, in kJ/mol of atoms.


Entry one
The following is a DFT calculation (PBE) of a relaxed Tl2CdIn crystal.

Results
Fermi-level density of states = 0.277 states/eV per atom
magnetization = 0.00 μB per formula unit
symmetry = No. 123
ρ = 9.36 g/cm3

```
4
Lattice="-2.268 -2.398 -1.950 -1.911 -0.813 3.222 -4.866 5.766 -1.432" Properties=species:S:1:pos:R:3 pbc="T T T"
Tl -2.391 2.833 -0.703
Tl -0.042 0.050 -0.012
Cd -3.306 -0.164 0.278
In -5.739 2.719 -0.437
```


Entry two
The following is a DFT calculation (PBE) of a relaxed Tl2CdIn crystal.

Results
Fermi-level density of states = 0.534 states/eV per atom
magnetization = 0.00 μB per formula unit
symmetry = No. 119
ρ = 9.39 g/cm3

```
4
Lattice="-2.281 5.022 -1.668 -1.004 -0.615 -5.641 -1.567 -3.427 4.359" Properties=species:S:1:pos:R:3 pbc="T T T"
In -2.745 1.899 -0.482
Cd -1.643 2.203 -3.654
Tl -2.107 -0.919 -2.468
Tl 0.000 0.000 0.000
```


Entry three
The following is a DFT calculation (PBE) of a relaxed Tl2CdIn crystal.

Results
Fermi-level density of states = 0.410 states/eV per atom
magnetization = 0.00 μB per formula unit
symmetry = No. 6
ρ = 9.23 g/cm3

```
4
Lattice="4.936 0.000 0.000 0.000 3.448 0.092 0.000 1.381 6.756" Properties=species:S:1:pos:R:3 pbc="T T T"
Cd 0.000 3.091 3.366
In 2.468 2.967 5.144
Tl 0.000 4.630 6.697
Tl 2.468 1.383 1.913
```


Q: What are the energies relative to the best structure? A: entry one 0.5; entry two 1.3; entry three 0.0, in kJ/mol of atoms.


Entry one
The following is a DFT calculation (PBE) of a relaxed Tl2CdIn crystal.

Results
Fermi-level density of states = 0.494 states/eV per atom
magnetization = 0.00 μB per formula unit
symmetry = No. 122
ρ = 8.87 g/cm3

```
8
Lattice="-1.806 -0.146 -4.147 3.519 -2.452 -1.445 -6.509 -8.466 5.601" Properties=species:S:1:pos:R:3 pbc="T T T"
Cd -3.729 -4.956 -0.671
Tl -1.890 -3.162 -2.769
Cd 0.000 0.000 0.000
Tl -3.812 -7.973 0.702
In -1.067 -6.108 0.680
In 0.856 -1.299 -2.796
Tl 0.777 -4.318 -1.421
Tl -4.666 -6.674 3.505
```


Entry two
The following is a DFT calculation (PBE) of a relaxed Tl2CdIn crystal.

Results
Fermi-level density of states = 0.576 states/eV per atom
magnetization = 0.00 μB per formula unit
symmetry = No. 166
ρ = 9.37 g/cm3

```
4
Lattice="10.774 -0.100 -0.059 10.236 3.365 -0.059 10.236 1.590 2.966" Properties=species:S:1:pos:R:3 pbc="T T T"
Tl 31.206 4.849 2.844
In 23.435 3.641 2.136
Cd 7.812 1.214 0.712
Tl 15.664 2.434 1.428
```


Entry three
The following is a DFT calculation (PBE) of a relaxed Tl2CdIn crystal.

Results
Fermi-level density of states = 0.548 states/eV per atom
magnetization = 0.00 μB per formula unit
symmetry = No. 160
ρ = 8.47 g/cm3

```
4
Lattice="4.345 0.000 0.000 2.173 3.763 0.000 2.173 1.254 7.628" Properties=species:S:1:pos:R:3 pbc="T T T"
Tl 2.173 1.254 5.777
In 4.345 2.509 3.846
Cd 6.518 3.763 7.590
Tl 2.173 1.254 1.856
```


Q: What are the energies relative to the best structure? A: entry one 5.0; entry two 0.0; entry three 8.4, in kJ/mol of atoms.


Entry one
The following is a DFT calculation (PBE) of a relaxed TlCd3In crystal.

Results
Fermi-level density of states = 0.430 states/eV per atom
magnetization = 0.00 μB per formula unit
symmetry = No. 14
ρ = 8.33 g/cm3

```
20
Lattice="-1.308 7.887 -0.446 0.638 -0.327 -7.664 -8.776 -1.201 4.499" Properties=species:S:1:pos:R:3 pbc="T T T"
Cd -4.118 6.170 -2.033
Cd -8.566 5.725 -2.206
In -8.475 0.660 -1.995
Tl -6.943 -0.682 1.169
Cd -8.225 3.879 0.312
Cd -5.329 0.188 -1.577
In -4.040 0.977 -4.229
Cd -1.528 4.411 -6.417
Cd -7.919 1.947 2.806
Cd -6.260 5.886 -4.285
Cd -3.186 0.473 0.674
Cd -1.221 2.479 -3.922
Tl -6.368 3.279 -2.351
In -0.972 5.699 -1.615
In -5.407 5.381 0.618
Tl -2.504 7.040 -4.779
Cd -5.646 2.309 0.717
Cd -3.800 4.049 -4.327
Cd -0.881 0.634 -1.404
Tl -3.079 3.079 -1.259
```


Entry two
The following is a DFT calculation (PBE) of a relaxed TlCd3In crystal.

Results
Fermi-level density of states = 0.597 states/eV per atom
magnetization = 0.00 μB per formula unit
symmetry = No. 221
ρ = 6.38 g/cm3

```
5
Lattice="5.548 0.000 0.000 0.000 5.548 0.000 0.000 0.000 5.548" Properties=species:S:1:pos:R:3 pbc="T T T"
Cd 2.774 0.000 0.000
In 0.000 0.000 0.000
Tl 2.774 2.774 2.774
Cd 0.000 0.000 2.774
Cd 0.000 2.774 0.000
```


Q: What are the energies relative to the best structure? A: entry one 0.0; entry two 22.6, in kJ/mol of atoms.


Entry one
The following is a DFT calculation (PBE) of a relaxed TlCdIn3 crystal.

Results
Fermi-level density of states = 0.400 states/eV per atom
magnetization = 0.00 μB per formula unit
symmetry = No. 186
ρ = 8.11 g/cm3

```
10
Lattice="-0.463 -1.893 -2.775 3.004 -0.005 1.575 -8.184 -20.772 15.538" Properties=species:S:1:pos:R:3 pbc="T T T"
In -2.705 -6.865 5.135
Tl -4.071 -15.657 11.362
In -6.797 -17.251 12.904
In 0.894 -3.056 1.936
Cd -0.196 -0.498 0.373
In -4.354 -14.072 8.255
Tl -1.134 -5.901 2.143
Cd -4.288 -10.884 8.142
In -1.677 -9.582 6.818
In -6.925 -20.598 13.137
```


Entry two
The following is a DFT calculation (PBE) of a relaxed TlCdIn3 crystal.

Results
Fermi-level density of states = 0.340 states/eV per atom
magnetization = 0.00 μB per formula unit
symmetry = No. 63
ρ = 7.39 g/cm3

```
10
Lattice="5.867 0.000 0.000 0.000 7.654 -0.010 0.001 -3.836 6.623" Properties=species:S:1:pos:R:3 pbc="T T T"
Tl 1.467 -0.004 4.411
Cd 0.000 0.000 0.000
In 4.400 -0.012 2.620
In 1.466 2.275 1.299
Cd 2.933 0.000 0.000
In 1.467 3.830 3.993
In 1.466 5.386 1.299
In 4.400 1.543 5.314
In 4.401 -1.568 5.314
Tl 4.400 3.822 2.203
```


Entry three
The following is a DFT calculation (PBE) of a relaxed TlCdIn3 crystal.

Results
Fermi-level density of states = 0.897 states/eV per atom
magnetization = 0.00 μB per formula unit
symmetry = No. 221
ρ = 6.38 g/cm3

```
5
Lattice="-0.579 0.462 -5.514 0.893 -5.463 -0.551 -5.461 -0.942 0.495" Properties=species:S:1:pos:R:3 pbc="T T T"
In -2.730 -0.471 0.247
Tl -2.573 -2.972 -2.785
Cd 0.000 0.000 0.000
In 0.446 -2.732 -0.276
In -0.290 0.231 -2.757
```


Q: What are the energies relative to the best structure? A: entry one 0.0; entry two 7.2; entry three 26.9, in kJ/mol of atoms.


Entry one
The following is a DFT calculation (PBE) of a relaxed Tl7Cd2In2 crystal.

Results
Fermi-level density of states = 0.387 states/eV per atom
magnetization = 0.00 μB per formula unit
symmetry = No. 44
ρ = 9.43 g/cm3

```
11
Lattice="3.837 0.000 0.000 1.919 9.962 0.091 1.919 4.804 8.728" Properties=species:S:1:pos:R:3 pbc="T T T"
Cd 1.919 8.816 2.011
In 5.756 11.622 5.853
Tl 1.919 4.114 4.875
Cd 3.837 6.514 5.865
Tl 5.756 8.523 7.509
Tl 3.837 9.370 4.546
Tl 3.837 4.962 8.464
Tl 3.837 1.872 2.514
Tl 3.837 11.665 8.363
Tl 3.837 6.322 2.725
In 1.919 4.102 1.362
```


Entry two
The following is a DFT calculation (PBE) of a relaxed Tl7Cd2In2 crystal.

Results
Fermi-level density of states = 0.394 states/eV per atom
magnetization = 0.00 μB per formula unit
symmetry = No. 12
ρ = 9.62 g/cm3

```
11
Lattice="5.745 -0.024 0.215 -2.157 5.325 0.215 0.477 0.705 10.717" Properties=species:S:1:pos:R:3 pbc="T T T"
Tl 2.817 4.162 3.470
Tl 1.281 4.994 9.374
Tl 0.000 0.000 0.000
Tl 1.248 1.844 7.676
In 3.820 1.793 5.573
Cd 3.144 4.645 6.839
Cd 0.921 1.360 4.307
In 0.246 4.212 5.573
Tl 4.160 3.045 9.374
Tl -0.095 2.961 1.772
Tl 2.784 1.012 1.772
```


Q: What are the energies relative to the best structure? A: entry one 1.4; entry two 0.0, in kJ/mol of atoms.


Entry one
The following is a DFT calculation (PBE) of a relaxed Tl6CdIn2 crystal.

Results
Fermi-level density of states = 0.390 states/eV per atom
magnetization = 0.00 μB per formula unit
symmetry = No. 187
ρ = 9.85 g/cm3

```
9
Lattice="3.473 0.000 0.000 -1.736 3.008 0.000 0.000 0.000 25.319" Properties=species:S:1:pos:R:3 pbc="T T T"
In 1.736 1.003 8.311
Tl 1.736 1.003 22.685
Tl 0.000 2.005 19.768
Tl 0.000 2.005 11.049
Tl 0.000 2.005 5.550
Cd 0.000 2.005 0.000
In 1.736 1.003 17.007
Tl 0.000 2.005 14.270
Tl 1.736 1.003 2.633
```


Entry two
The following is a DFT calculation (PBE) of a relaxed Tl6CdIn2 crystal.

Results
Fermi-level density of states = 0.389 states/eV per atom
magnetization = 0.00 μB per formula unit
symmetry = No. 15
ρ = 9.66 g/cm3

```
18
Lattice="-5.969 2.384 -0.279 -1.621 -7.352 5.573 3.675 5.981 6.202" Properties=species:S:1:pos:R:3 pbc="T T T"
Tl -2.048 1.845 9.888
In -2.964 1.124 4.231
Tl 1.344 1.705 8.837
Tl -0.457 2.695 3.014
In -3.836 1.333 7.137
Cd -2.627 -5.530 5.561
Tl -1.867 -0.831 1.608
Cd -1.289 6.544 5.934
Tl -0.909 3.146 6.434
Tl -5.260 -0.691 2.658
Tl -0.089 -1.929 9.906
Tl -3.459 -1.681 8.482
Tl -3.007 -2.132 5.062
Tl -3.877 4.384 5.173
Tl -0.039 -3.371 6.322
In -0.080 -0.320 4.359
Tl -3.827 2.942 1.590
In -0.951 -0.110 7.265
```


Q: What are the energies relative to the best structure? A: entry one 0.0; entry two 1.6, in kJ/mol of atoms.